[1]
# Y2AlCu | the Alexandria database | PBE | relaxed
data_Y2AlCu
_chemical_formula_sum 'Y2 Al1 Cu1'
_cell_length_a 3.710
_cell_length_b 4.444
_cell_length_c 5.945
_cell_angle_alpha 90.00
_cell_angle_beta 107.99
_cell_angle_gamma 90.00
_symmetry_space_group_name_H-M 'P 1 m 1'
_symmetry_Int_Tables_number 6
loop_
_symmetry_equiv_pos_as_xyz
'x,y,z'
'x,-y,z'
loop_
_atom_site_label
_atom_site_fract_x
_atom_site_fract_y
_atom_site_fract_z
_atom_site_occupancy
Y1 0.000 0.000 0.000 1
Y2 0.299 0.500 0.600 1
Al1 0.583 0.500 0.167 1
Cu1 0.715 0.000 0.431 1
# magnetization	0.00	Bohr magnetons per cell
# ΔE_f	-29.2	kJ per mole of atoms

[2]
# LiIn2HAu | the Alexandria database | PBE | relaxed
data_LiIn2HAu
_chemical_formula_sum 'Li1 In2 H1 Au1'
_cell_length_a 4.768
_cell_length_b 4.768
_cell_length_c 3.738
_cell_angle_alpha 90.00
_cell_angle_beta 90.00
_cell_angle_gamma 90.00
_symmetry_space_group_name_H-M 'P 4/m m m'
_symmetry_Int_Tables_number 123
_symmetry_space_group_name_Hall '-P 4 2'
loop_
_atom_site_label
_atom_site_fract_x
_atom_site_fract_y
_atom_site_fract_z
_atom_site_occupancy
Li1 0.000 0.000 0.000 1
In1 0.000 0.500 0.500 1
H1 0.000 0.000 0.500 1
Au1 0.500 0.500 0.000 1
# magnetization	0.00	Bohr magnetons per cell
# DFT total energy	-2.90	eV per atom

[3]
# Tl2SbBr | the Alexandria database | PBE | relaxed
data_Tl2SbBr
_chemical_formula_sum 'Tl4 Sb2 Br2'
_cell_length_a 4.985
_cell_length_b 4.999
_cell_length_c 11.321
_cell_angle_alpha 90.00
_cell_angle_beta 90.00
_cell_angle_gamma 90.00
_symmetry_space_group_name_H-M 'C m m 2'
_symmetry_Int_Tables_number 35
loop_
_symmetry_equiv_pos_as_xyz
'x,y,z'
'-x,-y,z'
'-x,y,z'
'x,-y,z'
'x+1/2,y+1/2,z'
'-x+1/2,-y+1/2,z'
'-x+1/2,y+1/2,z'
'x+1/2,-y+1/2,z'
loop_
_atom_site_label
_atom_site_fract_x
_atom_site_fract_y
_atom_site_fract_z
_atom_site_occupancy
Tl1 0.000 0.000 0.000 1
Tl2 0.000 0.500 0.306 1
Sb1 0.000 0.500 0.791 1
Br1 0.000 0.000 0.464 1
# magnetization	0.00	Bohr magnetons per cell
# DFT total energy	-2.79	eV per atom

[4]
# Tb8PdRh5 | the Alexandria database | PBE | relaxed
data_Tb8PdRh5
_chemical_formula_sum 'Tb16 Pd2 Rh10'
_cell_length_a 8.658
_cell_length_b 8.658
_cell_length_c 8.622
_cell_angle_alpha 90.00
_cell_angle_beta 90.00
_cell_angle_gamma 90.00
_symmetry_space_group_name_H-M 'I -4'
_symmetry_Int_Tables_number 82
loop_
_symmetry_equiv_pos_as_xyz
'x,y,z'
'y,-x,-z'
'-x,-y,z'
'-y,x,-z'
'x+1/2,y+1/2,z+1/2'
'y+1/2,-x+1/2,-z+1/2'
'-x+1/2,-y+1/2,z+1/2'
'-y+1/2,x+1/2,-z+1/2'
loop_
_atom_site_label
_atom_site_fract_x
_atom_site_fract_y
_atom_site_fract_z
_atom_site_occupancy
Tb1 0.061 0.309 0.433 1
Tb2 0.063 0.184 0.815 1
Pd1 0.000 0.500 0.750 1
Rh1 0.000 0.000 0.500 1
Rh2 0.128 0.248 0.124 1
# magnetization	0.00	Bohr magnetons per cell
# ΔE_f	-73.2	kJ per mole of atoms

[5]
# TbCe8Pb6 | the Alexandria database | PBE | relaxed
data_TbCe8Pb6
_chemical_formula_sum 'Tb3 Ce24 Pb18'
_cell_length_a 9.5230
_cell_length_b 9.5230
_cell_length_c 19.7075
_cell_angle_alpha 90.00
_cell_angle_beta 90.00
_cell_angle_gamma 120.00
_symmetry_space_group_name_H-M 'R -3'
_symmetry_Int_Tables_number 148
_symmetry_space_group_name_Hall '-R 3'
loop_
_atom_site_label
_atom_site_fract_x
_atom_site_fract_y
_atom_site_fract_z
_atom_site_occupancy
Tb1 0.0000 0.0000 0.0000 1
Ce1 0.0000 0.0000 0.3342 1
Ce2 0.0016 0.6591 0.9066 1
Pb1 0.0009 0.6757 0.0729 1
# magnetization	31.61	Bohr magnetons per cell
# ΔE_f	-20.1	kJ per mole of atoms

[6]
# CsInGa3 | the Alexandria database | PBE | relaxed
data_CsInGa3
_chemical_formula_sum 'Cs1 In1 Ga3'
_cell_length_a 5.599
_cell_length_b 5.599
_cell_length_c 5.599
_cell_angle_alpha 90.00
_cell_angle_beta 90.00
_cell_angle_gamma 90.00
_symmetry_space_group_name_H-M 'P m -3 m'
_symmetry_Int_Tables_number 221
_symmetry_space_group_name_Hall '-P 4 2 3'
loop_
_atom_site_label
_atom_site_fract_x
_atom_site_fract_y
_atom_site_fract_z
_atom_site_occupancy
Cs1 0.000 0.000 0.000 1
In1 0.500 0.500 0.500 1
Ga1 0.000 0.500 0.500 1
# magnetization	0.00	Bohr magnetons per cell
# ΔE_f	28.7	kJ per mole of atoms